Material: ErSnPd
Method: DFT, GGA-PBEsol
State: optimized geometry

a = 7.4320 Å, b = 7.4320 Å, c = 3.8753 Å
α = 90.00°, β = 90.00°, γ = 120.00°
Sites, in units of the cell vectors:
1 Er 0.0000 0.5943 0.0000
2 Er 0.4057 0.4057 0.0000
3 Er 0.5943 0.0000 0.0000
4 Sn 0.0000 0.2608 0.5000
5 Sn 0.2608 0.0000 0.5000
6 Sn 0.7392 0.7392 0.5000
7 Pd 0.0000 0.0000 0.0000
8 Pd 0.3333 0.6667 0.5000
9 Pd 0.6667 0.3333 0.5000

Calculated values
As for the total magnetization: 0.0 Bohr magnetons per cell. As for the space group: P-62m. Its density is 10.5 Mg/m³. As for the formation energy: -974 meV/atom.